## 1
RbAu3O2 | PBE | relaxed

Computed properties:
- Symmetry: P-3m1
- V: 24.89 Å³/atom

Lattice parameters (Å, degrees): 6.038 6.038 4.730 90.00 90.00 120.00
Atoms (fractional coordinates):
Au (0.500, 0.000, 0.000)
Au (0.500, 0.500, 0.000)
Au (0.000, 0.500, 0.000)
O (0.333, 0.667, 0.768)
O (0.667, 0.333, 0.232)
Rb (0.000, 0.000, 0.500)

## 2
RbAu3O2 | PBE | relaxed

Computed properties:
- Symmetry: Cmc2_1
- V: 20.33 Å³/atom

Lattice parameters (Å, degrees): 6.594 6.594 6.844 90.00 90.00 124.95
Atoms (fractional coordinates):
Au (0.837, 0.601, 0.246)
Au (0.572, 0.428, 0.878)
Au (0.601, 0.837, 0.746)
Au (0.163, 0.399, 0.746)
Au (0.428, 0.572, 0.378)
Au (0.399, 0.163, 0.246)
O (0.752, 0.248, 0.839)
O (0.248, 0.752, 0.339)
O (0.084, 0.916, 0.088)
O (0.916, 0.084, 0.588)
Rb (0.864, 0.136, 0.199)
Rb (0.136, 0.864, 0.699)

Of them, the most stable is 1 and the least stable is 2.

## 1
RbTeAuO | PBE | relaxed

Computed properties:
- Symmetry: P4/nmm
- V: 27.47 Å³/atom

Lattice parameters (Å, degrees): 4.676 4.676 10.051 90.00 90.00 90.00
Atoms (fractional coordinates):
O (0.750, 0.250, 0.000)
O (0.250, 0.750, 0.000)
Au (0.750, 0.750, 0.992)
Au (0.250, 0.250, 0.008)
Rb (0.750, 0.250, 0.500)
Rb (0.250, 0.750, 0.500)
Te (0.750, 0.750, 0.257)
Te (0.250, 0.250, 0.743)

## 2
RbTeAuO | PBE | relaxed

Computed properties:
- Symmetry: Pmc2_1
- V: 31.15 Å³/atom

Lattice parameters (Å, degrees): 5.000 7.305 6.823 90.00 90.00 90.00
Atoms (fractional coordinates):
O (0.500, 0.848, 0.746)
O (0.500, 0.152, 0.246)
Rb (0.000, 0.675, 0.623)
Rb (0.000, 0.325, 0.123)
Te (0.000, 0.839, 0.104)
Te (0.000, 0.161, 0.604)
Au (0.500, 0.966, 0.018)
Au (0.500, 0.034, 0.518)

Of them, the most stable is 2 and the least stable is 1.

## 1
Au2SO | PBE | relaxed

Computed properties:
- Symmetry: Cm
- V: 20.66 Å³/atom

Lattice parameters (Å, degrees): 4.460 4.460 6.152 101.27 101.27 43.70
Atoms (fractional coordinates):
O (0.112, 0.112, 0.715)
Au (0.006, 0.006, 0.989)
Au (0.505, 0.505, 0.517)
S (0.877, 0.877, 0.279)

## 2
Au2SO | PBE | relaxed

Computed properties:
- Symmetry: Pmc2_1
- V: 17.42 Å³/atom

Lattice parameters (Å, degrees): 3.519 7.750 5.110 90.00 90.00 90.00
Atoms (fractional coordinates):
Au (0.500, 0.867, 0.120)
Au (0.000, 0.661, 0.627)
Au (0.500, 0.133, 0.620)
Au (0.000, 0.339, 0.127)
O (0.500, 0.862, 0.617)
O (0.500, 0.138, 0.117)
S (0.000, 0.648, 0.127)
S (0.000, 0.352, 0.627)

## 3
Au2SO | PBE | relaxed

Computed properties:
- Symmetry: Pca2_1
- V: 18.52 Å³/atom

Lattice parameters (Å, degrees): 7.088 6.363 6.568 90.00 90.00 90.00
Atoms (fractional coordinates):
Au (0.890, 0.996, 0.105)
Au (0.244, 0.668, 0.892)
Au (0.256, 0.668, 0.392)
Au (0.756, 0.332, 0.392)
Au (0.110, 0.004, 0.605)
Au (0.610, 0.996, 0.605)
Au (0.390, 0.004, 0.105)
Au (0.744, 0.332, 0.892)
S (0.484, 0.653, 0.649)
S (0.984, 0.347, 0.649)
S (0.516, 0.347, 0.149)
S (0.016, 0.653, 0.149)
O (0.363, 0.149, 0.604)
O (0.137, 0.149, 0.104)
O (0.863, 0.851, 0.604)
O (0.637, 0.851, 0.104)

## 4
Au2SO | PBE | relaxed

Computed properties:
- Symmetry: P2_1
- V: 18.81 Å³/atom

Lattice parameters (Å, degrees): 5.628 5.244 10.268 90.00 83.36 90.00
Atoms (fractional coordinates):
O (0.157, 0.516, 0.045)
O (0.339, 0.007, 0.035)
O (0.843, 0.016, 0.955)
O (0.661, 0.507, 0.965)
S (0.725, 0.588, 0.690)
S (0.667, 0.661, 0.244)
S (0.333, 0.161, 0.756)
S (0.275, 0.088, 0.310)
Au (0.073, 0.806, 0.725)
Au (0.984, 0.357, 0.874)
Au (0.016, 0.857, 0.126)
Au (0.677, 0.642, 0.472)
Au (0.514, 0.822, 0.869)
Au (0.486, 0.322, 0.131)
Au (0.927, 0.306, 0.275)
Au (0.323, 0.142, 0.528)

Of them, the most stable is 1 and the least stable is 2.

## 1
Au2SO | PBE | relaxed

Computed properties:
- Symmetry: P2_1/c
- V: 17.98 Å³/atom

Lattice parameters (Å, degrees): 6.326 7.334 6.202 90.00 90.84 90.00
Atoms (fractional coordinates):
Au (0.923, 0.241, 0.007)
Au (0.077, 0.741, 0.493)
Au (0.440, 0.372, 0.776)
Au (0.923, 0.259, 0.507)
Au (0.560, 0.872, 0.724)
Au (0.440, 0.128, 0.276)
Au (0.077, 0.759, 0.993)
Au (0.560, 0.628, 0.224)
S (0.246, 0.393, 0.452)
S (0.246, 0.107, 0.952)
S (0.754, 0.893, 0.048)
S (0.754, 0.607, 0.548)
O (0.373, 0.855, 0.441)
O (0.373, 0.645, 0.941)
O (0.627, 0.145, 0.559)
O (0.627, 0.355, 0.059)

## 2
Au2SO | PBE | relaxed

Computed properties:
- Symmetry: P4/nmm
- V: 18.55 Å³/atom

Lattice parameters (Å, degrees): 4.365 4.365 7.790 90.00 90.00 90.00
Atoms (fractional coordinates):
S (0.750, 0.750, 0.336)
S (0.250, 0.250, 0.664)
Au (0.250, 0.250, 0.042)
Au (0.250, 0.750, 0.500)
Au (0.750, 0.250, 0.500)
Au (0.750, 0.750, 0.958)
O (0.750, 0.250, 0.000)
O (0.250, 0.750, 0.000)

Of them, the most stable is 1 and the least stable is 2.

## 1
Au2SO4 | PBE | relaxed

Computed properties:
- Symmetry: C2/c
- V: 19.46 Å³/atom

Lattice parameters (Å, degrees): 8.168 8.168 7.518 114.55 114.55 37.18
Atoms (fractional coordinates):
O (0.047, 0.087, 0.202)
O (0.716, 0.649, 0.799)
O (0.953, 0.913, 0.798)
O (0.284, 0.351, 0.201)
O (0.087, 0.047, 0.702)
O (0.649, 0.716, 0.299)
O (0.351, 0.284, 0.701)
O (0.913, 0.953, 0.298)
Au (0.321, 0.318, 0.953)
Au (0.318, 0.321, 0.453)
Au (0.682, 0.679, 0.547)
Au (0.679, 0.682, 0.047)
S (0.166, 0.834, 0.750)
S (0.834, 0.166, 0.250)

## 2
Au2SO4 | PBE | relaxed

Computed properties:
- Symmetry: Fddd
- V: 13.86 Å³/atom

Lattice parameters (Å, degrees): 8.201 6.596 6.359 78.53 52.02 49.45
Atoms (fractional coordinates):
O (0.796, 0.352, 0.358)
O (0.892, 0.756, 0.454)
O (0.352, 0.796, 0.494)
O (0.898, 0.454, 0.756)
O (0.358, 0.494, 0.796)
O (0.454, 0.898, 0.892)
O (0.756, 0.892, 0.898)
O (0.494, 0.358, 0.352)
Au (0.798, 0.202, 0.798)
Au (0.048, 0.452, 0.048)
Au (0.452, 0.048, 0.452)
Au (0.202, 0.798, 0.202)
S (0.500, 0.500, 0.500)
S (0.750, 0.750, 0.750)

Of them, the most stable is 2 and the least stable is 1.

## 1
Sb2Au2O5 | PBE | relaxed

Computed properties:
- Symmetry: P4/mmm
- V: 13.75 Å³/atom

Lattice parameters (Å, degrees): 6.901 4.234 4.234 90.00 90.00 90.00
Atoms (fractional coordinates):
O (0.218, 0.000, 0.500)
O (0.218, 0.500, 0.000)
O (0.782, 0.500, 0.000)
O (0.500, 0.500, 0.500)
O (0.782, 0.000, 0.500)
Sb (0.000, 0.000, 0.000)
Sb (0.500, 0.000, 0.000)
Au (0.194, 0.500, 0.500)
Au (0.806, 0.500, 0.500)

## 2
Sb2Au2O5 | PBE | relaxed

Computed properties:
- Symmetry: P4/mmm
- V: 14.16 Å³/atom

Lattice parameters (Å, degrees): 7.592 4.097 4.097 90.00 90.00 90.00
Atoms (fractional coordinates):
Sb (0.241, 0.500, 0.500)
Sb (0.759, 0.500, 0.500)
Au (0.500, 0.000, 0.000)
Au (0.000, 0.000, 0.000)
O (0.222, 0.000, 0.500)
O (0.500, 0.500, 0.500)
O (0.222, 0.500, 0.000)
O (0.778, 0.000, 0.500)
O (0.778, 0.500, 0.000)

Of them, the most stable is 2 and the least stable is 1.

## 1
SbTeAuO | PBE | relaxed

Computed properties:
- Symmetry: P4/nmm
- V: 19.82 Å³/atom

Lattice parameters (Å, degrees): 4.016 4.016 9.834 90.00 90.00 90.00
Atoms (fractional coordinates):
Au (0.750, 0.250, 0.500)
Au (0.250, 0.750, 0.500)
Te (0.250, 0.250, 0.715)
Te (0.750, 0.750, 0.285)
O (0.250, 0.750, 0.000)
O (0.750, 0.250, 0.000)
Sb (0.250, 0.250, 0.119)
Sb (0.750, 0.750, 0.881)

## 2
SbTeAuO | PBE | relaxed

Computed properties:
- Symmetry: P2_1/c
- V: 22.87 Å³/atom

Lattice parameters (Å, degrees): 7.187 6.980 7.296 90.00 90.84 90.00
Atoms (fractional coordinates):
O (0.539, 0.813, 0.500)
O (0.461, 0.187, 0.500)
O (0.539, 0.687, 0.000)
O (0.461, 0.313, 0.000)
Te (0.822, 0.503, 0.693)
Te (0.822, 0.997, 0.193)
Te (0.178, 0.497, 0.307)
Te (0.178, 0.003, 0.807)
Au (0.084, 0.821, 0.483)
Au (0.916, 0.179, 0.517)
Au (0.084, 0.679, 0.983)
Au (0.916, 0.321, 0.017)
Sb (0.584, 0.483, 0.195)
Sb (0.416, 0.517, 0.805)
Sb (0.584, 0.017, 0.695)
Sb (0.416, 0.983, 0.305)

## 3
SbTeAuO | PBE | relaxed

Computed properties:
- Symmetry: Pmc2_1
- V: 23.58 Å³/atom

Lattice parameters (Å, degrees): 3.900 6.630 7.295 90.00 90.00 90.00
Atoms (fractional coordinates):
O (0.500, 0.826, 0.756)
O (0.500, 0.174, 0.256)
Sb (0.500, 0.920, 0.017)
Sb (0.500, 0.080, 0.517)
Au (0.000, 0.241, 0.033)
Au (0.000, 0.759, 0.533)
Te (0.000, 0.363, 0.685)
Te (0.000, 0.637, 0.185)

Of them, the most stable is 2 and the least stable is 3.

## 1
ScTeAuO | PBE | relaxed

Computed properties:
- Symmetry: Pbcm
- V: 18.69 Å³/atom

Lattice parameters (Å, degrees): 9.986 5.471 5.472 90.00 90.00 90.00
Atoms (fractional coordinates):
Au (0.496, 0.750, 0.500)
Au (0.504, 0.250, 0.000)
Au (0.496, 0.750, 0.000)
Au (0.504, 0.250, 0.500)
Sc (0.905, 0.001, 0.250)
Sc (0.095, 0.501, 0.250)
Sc (0.905, 0.499, 0.750)
Sc (0.095, 0.999, 0.750)
O (0.000, 0.250, 0.000)
O (0.000, 0.250, 0.500)
O (0.000, 0.750, 0.500)
O (0.000, 0.750, 0.000)
Te (0.274, 0.497, 0.750)
Te (0.726, 0.503, 0.250)
Te (0.274, 0.003, 0.250)
Te (0.726, 0.997, 0.750)

## 2
ScTeAuO | PBE | relaxed

Computed properties:
- Symmetry: Pcca
- V: 18.80 Å³/atom

Lattice parameters (Å, degrees): 5.484 5.364 10.228 90.00 90.00 90.00
Atoms (fractional coordinates):
O (0.253, 0.250, 0.000)
O (0.247, 0.750, 0.000)
O (0.747, 0.750, 0.000)
O (0.753, 0.250, 0.000)
Au (0.897, 0.250, 0.500)
Au (0.103, 0.750, 0.500)
Au (0.397, 0.250, 0.500)
Au (0.603, 0.750, 0.500)
Te (0.000, 0.000, 0.731)
Te (0.500, 0.000, 0.270)
Te (0.500, 0.500, 0.731)
Te (0.000, 0.500, 0.270)
Sc (0.500, 0.500, 0.094)
Sc (0.000, 0.500, 0.906)
Sc (0.500, 0.000, 0.906)
Sc (0.000, 0.000, 0.094)

Of them, the most stable is 2 and the least stable is 1.